Compound: KYAg2
Source: the Alexandria database
Functional: PBE
Structure: optimized geometry

```
KYAg2
1.0
-4.149 0.619 3.035
-0.847 -3.268 3.926
0.583 1.615 4.885
Y Ag K
1 2 1
direct
0.750 0.750 0.750 Y
0.000 0.000 0.000 Ag
0.250 0.250 0.250 Ag
0.500 0.500 0.500 K
```

Values from the calculation:
Calculated formation energy in meV/atom: 282
Volume in Å³/cell: 98.1
Symmetry: F-43m, No. 216